# Li4Ti2V3Fe3O16, optimized geometry, DFT PBE+U
# Total magnetic moment   5.00 μB per formula unit
# Electronic total energy   -7.1930 eV/atom
data_Li4Ti2V3Fe3O16
_cell_length_a 10.2411
_cell_length_b 5.9719
_cell_length_c 9.5958
_cell_angle_alpha 90.00
_cell_angle_beta 91.15
_cell_angle_gamma 90.00
_symmetry_space_group_name_H-M 'C 1 m 1'
_symmetry_Int_Tables_number 8
loop_
_symmetry_equiv_pos_as_xyz
'x,y,z'
'x,-y,z'
'x+1/2,y+1/2,z'
'x+1/2,-y+1/2,z'
loop_
_atom_site_label
_atom_site_type_symbol
_atom_site_fract_x
_atom_site_fract_y
_atom_site_fract_z
_atom_site_occupancy
Li1 Li 0.0000 0.0000 0.0000 1
Li2 Li 0.0121 0.0000 0.4964 1
Li3 Li 0.1697 0.5000 0.5924 1
Li4 Li 0.3374 0.0000 0.0923 1
Ti1 Ti 0.1632 0.5000 0.0095 1
Ti2 Ti 0.3495 0.0000 0.4901 1
V1 V 0.3355 0.5000 0.2732 1
V2 V 0.4117 0.2477 0.7743 1
Fe1 Fe 0.0954 0.2542 0.2775 1
Fe2 Fe 0.1695 0.0000 0.7836 1
O1 O 0.0070 0.0000 0.1871 1
O2 O 0.0249 0.5000 0.1439 1
O3 O 0.0785 0.2520 0.8923 1
O4 O 0.1769 0.5000 0.3869 1
O5 O 0.1800 0.0000 0.4004 1
O6 O 0.2458 0.2817 0.1398 1
O7 O 0.2682 0.2245 0.6559 1
O8 O 0.3362 0.5000 0.8880 1
O9 O 0.3415 0.0000 0.8869 1
O10 O 0.4247 0.2438 0.3994 1
O11 O 0.4833 0.0000 0.6546 1
O12 O 0.4994 0.5000 0.6834 1